1.
Below is an optimized crystal structure of Si2TcRu, with properties calculated at the PBE level.

Properties
Uncorrected energy ... -7.042 eV per atom
Uncorrected formation energy ... 2.32 eV per formula unit

a b c (Å): 3.5395 3.5537 10.0454
angles (deg): 90.00 90.00 90.00
Space group Immm (No. 71)
Inequivalent atoms, fractional coordinates:
Si1 0.0000 0.0000 0.2456 x4
Tc1 0.0000 0.0000 0.5000 x2
Ru1 0.0000 0.0000 0.0000 x2

=====

2.
Below is an optimized crystal structure of SiTcRu2, with properties calculated at the PBE level.

Properties
Uncorrected energy ... -8.404 eV per atom
Uncorrected formation energy ... 0.73 eV per formula unit

a b c (Å): 2.8716 4.6727 8.4115
angles (deg): 90.00 90.00 90.00
Space group Cmm2 (No. 35)
Inequivalent atoms, fractional coordinates:
Si1 0.0000 0.0000 0.0000 x2
Tc1 0.0000 0.5000 0.7612 x2
Ru1 0.0000 0.0000 0.4981 x2
Ru2 0.0000 0.5000 0.2232 x2

=====

3.
Below is an optimized crystal structure of Si2TcRu, with properties calculated at the PBE level.

Properties
Uncorrected energy ... -8.167 eV per atom
Uncorrected formation energy ... -2.18 eV per formula unit

a b c (Å): 4.1735 4.1735 2.9557
angles (deg): 90.00 90.00 90.00
Space group P4/mmm (No. 123)
Inequivalent atoms, fractional coordinates:
Si1 0.0000 0.5000 0.0000 x2
Tc1 0.0000 0.0000 0.5000 x1
Ru1 0.5000 0.5000 0.5000 x1

=====

4.
Below is an optimized crystal structure of SiTcRu2, with properties calculated at the PBE level.

Properties
Uncorrected energy ... -8.594 eV per atom
Uncorrected formation energy ... -0.04 eV per formula unit

a b c (Å): 4.3793 4.3793 2.8857
angles (deg): 90.00 90.00 90.00
Space group P4/mmm (No. 123)
Inequivalent atoms, fractional coordinates:
Si1 0.0000 0.0000 0.0000 x1
Tc1 0.5000 0.5000 0.0000 x1
Ru1 0.0000 0.5000 0.5000 x2

=====

5.
Below is an optimized crystal structure of SiTcRu2, with properties calculated at the PBE level.

Properties
Uncorrected energy ... -8.910 eV per atom
Uncorrected formation energy ... -1.30 eV per formula unit

a b c (Å): 2.8468 2.8468 6.6284
angles (deg): 90.00 90.00 90.00
Space group P4/mmm (No. 123)
Inequivalent atoms, fractional coordinates:
Si1 0.0000 0.0000 0.0000 x1
Tc1 0.0000 0.0000 0.5000 x1
Ru1 0.5000 0.5000 0.2207 x2

=====

6.
Below is an optimized crystal structure of SiTcRu2, with properties calculated at the PBE level.

Properties
Uncorrected energy ... -8.713 eV per atom
Uncorrected formation energy ... -0.51 eV per formula unit

a b c (Å): 3.8531 3.8531 7.3896
angles (deg): 90.00 90.00 90.00
Space group I4/mmm (No. 139)
Inequivalent atoms, fractional coordinates:
Si1 0.0000 0.0000 0.0000 x2
Tc1 0.0000 0.0000 0.5000 x2
Ru1 0.0000 0.5000 0.2500 x4

=====

7.
Below is an optimized crystal structure of Si4TcRu5, with properties calculated at the PBE level.

Properties
Uncorrected energy ... -8.364 eV per atom
Uncorrected formation energy ... -5.20 eV per formula unit

a b c (Å): 2.9029 2.9029 15.3927
angles (deg): 90.00 90.00 90.00
Space group P4/mmm (No. 123)
Inequivalent atoms, fractional coordinates:
Si1 0.0000 0.0000 0.0968 x2
Si2 0.0000 0.0000 0.2905 x2
Tc1 0.0000 0.0000 0.5000 x1
Ru1 0.5000 0.5000 0.0000 x1
Ru2 0.5000 0.5000 0.1906 x2
Ru3 0.5000 0.5000 0.3807 x2

=====

8.
Below is an optimized crystal structure of Si2TcRu, with properties calculated at the PBE level.

Properties
Uncorrected energy ... -7.423 eV per atom
Uncorrected formation energy ... 0.79 eV per formula unit

a b c (Å): 2.9641 4.6173 8.2388
angles (deg): 90.00 90.00 90.00
Space group Cmm2 (No. 35)
Inequivalent atoms, fractional coordinates:
Si1 0.0000 0.0000 0.0000 x2
Si2 0.0000 0.5000 0.2590 x2
Tc1 0.0000 0.5000 0.7639 x2
Ru1 0.0000 0.0000 0.4857 x2

=====

9.
Below is an optimized crystal structure of SiTcRu2, with properties calculated at the PBE level.

Properties
Uncorrected energy ... -8.451 eV per atom
Uncorrected formation energy ... 0.54 eV per formula unit

a b c (Å): 2.8946 4.6469 8.3340
angles (deg): 90.00 90.00 90.00
Space group Cmmm (No. 65)
Inequivalent atoms, fractional coordinates:
Si1 0.0000 0.0000 0.0000 x2
Tc1 0.0000 0.0000 0.5000 x2
Ru1 0.0000 0.5000 0.2281 x4

=====

10.
Below is an optimized crystal structure of Si2TcRu, with properties calculated at the PBE level.

Properties
Uncorrected energy ... -7.796 eV per atom
Uncorrected formation energy ... -0.70 eV per formula unit

a b c (Å): 2.9311 4.9059 7.7217
angles (deg): 90.00 90.00 90.00
Space group Immm (No. 71)
Inequivalent atoms, fractional coordinates:
Si1 0.0000 0.0000 0.2476 x4
Tc1 0.0000 0.5000 0.0000 x2
Ru1 0.0000 0.5000 0.5000 x2

=====

11.
Below is an optimized crystal structure of Si2TcRu, with properties calculated at the PBE level.

Properties
Uncorrected energy ... -7.792 eV per atom
Uncorrected formation energy ... -0.68 eV per formula unit

a b c (Å): 3.5137 3.5137 8.6972
angles (deg): 90.00 90.00 90.00
Space group I-4m2 (No. 119)
Inequivalent atoms, fractional coordinates:
Si1 0.0000 0.0000 0.0000 x2
Si2 0.0000 0.5000 0.2500 x2
Tc1 0.0000 0.5000 0.7500 x2
Ru1 0.0000 0.0000 0.5000 x2

=====

12.
Below is an optimized crystal structure of Si2TcRu, with properties calculated at the PBE level.

Properties
Uncorrected energy ... -7.793 eV per atom
Uncorrected formation energy ... -0.68 eV per formula unit

a b c (Å): 2.9473 4.8821 7.7062
angles (deg): 90.00 90.00 90.00
Space group Cmmm (No. 65)
Inequivalent atoms, fractional coordinates:
Si1 0.0000 0.0000 0.2479 x4
Tc1 0.0000 0.5000 0.5000 x2
Ru1 0.0000 0.5000 0.0000 x2